No. 1
Entry from Alexandria via LeMat-Bulk: crystalline Np6NiS12 at its relaxed geometry (PBE).

```
data_Np6NiS12
_chemical_formula_sum 'Np18 Ni3 S36'
_cell_length_a 11.7642
_cell_length_b 11.7642
_cell_length_c 10.6945
_cell_angle_alpha 90.00
_cell_angle_beta 90.00
_cell_angle_gamma 120.00
_space_group_name_H-M_alt 'R -3'
_space_group_IT_number 148
_space_group_name_Hall '-R 3'
loop_
_atom_site_label
_atom_site_type_symbol
_atom_site_fract_x
_atom_site_fract_y
_atom_site_fract_z
Np1 Np 0.0550 0.7824 0.1512
Ni1 Ni 0.0000 0.0000 0.5000
S1 S 0.0361 0.8170 0.8950
S2 S 0.0506 0.8533 0.3924
```

total moment = 65.2 μB per cell
E_form (uncorrected) = -116 kJ/mol of atoms

---

No. 2
Entry from Alexandria via LeMat-Bulk: crystalline PmCuBr2 at its relaxed geometry (PBE).

```
data_PmCuBr2
_chemical_formula_sum 'Pm3 Cu3 Br6'
_cell_length_a 3.8822
_cell_length_b 3.8822
_cell_length_c 25.9693
_cell_angle_alpha 90.00
_cell_angle_beta 90.00
_cell_angle_gamma 120.00
_space_group_name_H-M_alt 'R -3 m'
_space_group_IT_number 166
_space_group_name_Hall '-R 3 2"'
loop_
_atom_site_label
_atom_site_type_symbol
_atom_site_fract_x
_atom_site_fract_y
_atom_site_fract_z
Pm1 Pm 0.0000 0.0000 0.0000
Cu1 Cu 0.0000 0.0000 0.5000
Br1 Br 0.0000 0.0000 0.1106
```

total moment = 0.0 μB per cell
E_form (uncorrected) = -46 kJ/mol of atoms

---

No. 3
Entry from Alexandria via LeMat-Bulk: crystalline Ce2TiSi3Ir4 at its relaxed geometry (PBE).

```
data_Ce2TiSi3Ir4
_chemical_formula_sum 'Ce2 Ti1 Si3 Ir4'
_cell_length_a 4.1166
_cell_length_b 4.1166
_cell_length_c 10.3980
_cell_angle_alpha 90.00
_cell_angle_beta 90.00
_cell_angle_gamma 90.00
_space_group_name_H-M_alt 'P -4 m 2'
_space_group_IT_number 115
loop_
_space_group_symop_operation_xyz
'x,y,z'
'y,-x,-z'
'-x,-y,z'
'-y,x,-z'
'-x,y,z'
'-y,-x,-z'
'x,-y,z'
'y,x,-z'
loop_
_atom_site_label
_atom_site_type_symbol
_atom_site_fract_x
_atom_site_fract_y
_atom_site_fract_z
Ce1 Ce 0.0000 0.5000 0.2465
Ti1 Ti 0.0000 0.0000 0.5000
Si1 Si 0.0000 0.5000 0.8745
Si2 Si 0.5000 0.5000 0.5000
Ir1 Ir 0.0000 0.0000 0.0000
Ir2 Ir 0.0000 0.5000 0.6412
Ir3 Ir 0.5000 0.5000 0.0000
```

total moment = 1.4 μB per cell
E_form (uncorrected) = -98 kJ/mol of atoms

---

No. 4
Entry from Alexandria via LeMat-Bulk: crystalline LiB4C4 at its relaxed geometry (PBE).

```
data_LiB4C4
_chemical_formula_sum 'Li4 B16 C16'
_cell_length_a 2.7170
_cell_length_b 13.8902
_cell_length_c 9.2357
_cell_angle_alpha 90.00
_cell_angle_beta 90.00
_cell_angle_gamma 90.00
_space_group_name_H-M_alt 'A m m 2'
_space_group_IT_number 38
loop_
_space_group_symop_operation_xyz
'x,y,z'
'-x,-y,z'
'-x,y,z'
'x,-y,z'
'x,y+1/2,z+1/2'
'-x,-y+1/2,z+1/2'
'-x,y+1/2,z+1/2'
'x,-y+1/2,z+1/2'
loop_
_atom_site_label
_atom_site_type_symbol
_atom_site_fract_x
_atom_site_fract_y
_atom_site_fract_z
Li1 Li 0.0000 0.1281 0.0000
B1 B 0.0000 0.0000 0.3379
B2 B 0.0000 0.0000 0.8329
B3 B 0.0000 0.2494 0.6761
B4 B 0.5000 0.0000 0.0891
B5 B 0.5000 0.0000 0.5864
B6 B 0.5000 0.2358 0.4248
C1 C 0.0000 0.0000 0.1670
C2 C 0.0000 0.0000 0.6632
C3 C 0.0000 0.2390 0.3458
C4 C 0.5000 0.0000 0.4145
C5 C 0.5000 0.0000 0.9162
C6 C 0.5000 0.2475 0.5955
```

total moment = 0.0 μB per cell
formation energy from the elements = 246 meV/atom
polymorph energy (0 for the lowest one) = 156.6 meV/atom

---

No. 5
Entry from Alexandria via LeMat-Bulk: crystalline TiP2PdS at its relaxed geometry (PBE).

```
data_TiP2PdS
_chemical_formula_sum 'Ti1 P2 Pd1 S1'
_cell_length_a 4.6882
_cell_length_b 4.6882
_cell_length_c 4.5621
_cell_angle_alpha 90.00
_cell_angle_beta 90.00
_cell_angle_gamma 90.00
_space_group_name_H-M_alt 'P 4/m m m'
_space_group_IT_number 123
_space_group_name_Hall '-P 4 2'
loop_
_atom_site_label
_atom_site_type_symbol
_atom_site_fract_x
_atom_site_fract_y
_atom_site_fract_z
Ti1 Ti 0.0000 0.0000 0.0000
P1 P 0.0000 0.5000 0.0000
Pd1 Pd 0.5000 0.5000 0.5000
S1 S 0.0000 0.0000 0.5000
```

total moment = 0.0 μB per cell
E_form (uncorrected) = 27 kJ/mol of atoms
polymorph energy (0 for the lowest one) = 0.0 meV/atom

---

No. 6
Entry from Alexandria via LeMat-Bulk: crystalline CaGa2BrN at its relaxed geometry (PBE).

```
data_CaGa2BrN
_chemical_formula_sum 'Ca1 Ga2 Br1 N1'
_cell_length_a 4.1409
_cell_length_b 4.1409
_cell_length_c 6.7860
_cell_angle_alpha 90.00
_cell_angle_beta 90.00
_cell_angle_gamma 90.00
_space_group_name_H-M_alt 'P 4/m m m'
_space_group_IT_number 123
_space_group_name_Hall '-P 4 2'
loop_
_atom_site_label
_atom_site_type_symbol
_atom_site_fract_x
_atom_site_fract_y
_atom_site_fract_z
Ca1 Ca 0.0000 0.0000 0.0000
Ga1 Ga 0.0000 0.5000 0.5000
Br1 Br 0.5000 0.5000 0.0000
N1 N 0.5000 0.5000 0.5000
```

total moment = 0.8 μB per cell
E_form (uncorrected) = -4 kJ/mol of atoms

---

No. 7
Entry from Alexandria via LeMat-Bulk: crystalline PrEr5Tm2Sc at its relaxed geometry (PBE).

```
data_PrEr5Tm2Sc
_chemical_formula_sum 'Pr4 Er20 Tm8 Sc4'
_cell_length_a 5.5224
_cell_length_b 19.6300
_cell_length_c 10.2888
_cell_angle_alpha 90.00
_cell_angle_beta 90.00
_cell_angle_gamma 90.00
_space_group_name_H-M_alt 'C m c 21'
_space_group_IT_number 36
loop_
_space_group_symop_operation_xyz
'x,y,z'
'-x,-y,z+1/2'
'-x,y,z'
'x,-y,z+1/2'
'x+1/2,y+1/2,z'
'-x+1/2,-y+1/2,z+1/2'
'-x+1/2,y+1/2,z'
'x+1/2,-y+1/2,z+1/2'
loop_
_atom_site_label
_atom_site_type_symbol
_atom_site_fract_x
_atom_site_fract_y
_atom_site_fract_z
Pr1 Pr 0.0000 0.0870 0.0000
Er1 Er 0.0000 0.0203 0.2878
Er2 Er 0.0000 0.1224 0.5712
Er3 Er 0.0000 0.2017 0.2569
Er4 Er 0.0000 0.2242 0.8725
Er5 Er 0.0000 0.4822 0.5709
Tm1 Tm 0.0000 0.3859 0.2848
Tm2 Tm 0.0000 0.3888 0.8643
Sc1 Sc 0.0000 0.3039 0.5647
```

total moment = 0.0 μB per cell
formation energy from the elements = 181 meV/atom

---

No. 8
Entry from Alexandria via LeMat-Bulk: crystalline Cr2IrPt at its relaxed geometry (PBE).

```
data_Cr2IrPt
_chemical_formula_sum 'Cr2 Ir1 Pt1'
_cell_length_a 2.6766
_cell_length_b 2.6766
_cell_length_c 7.5704
_cell_angle_alpha 90.00
_cell_angle_beta 90.00
_cell_angle_gamma 90.00
_space_group_name_H-M_alt 'P 4 m m'
_space_group_IT_number 99
loop_
_space_group_symop_operation_xyz
'x,y,z'
'-y,x,z'
'-x,-y,z'
'y,-x,z'
'-x,y,z'
'y,x,z'
'x,-y,z'
'-y,-x,z'
loop_
_atom_site_label
_atom_site_type_symbol
_atom_site_fract_x
_atom_site_fract_y
_atom_site_fract_z
Cr1 Cr 0.0000 0.0000 0.0000
Cr2 Cr 0.5000 0.5000 0.2438
Ir1 Ir 0.0000 0.0000 0.4669
Pt1 Pt 0.5000 0.5000 0.7586
```

total moment = 0.2 μB per cell
formation energy from the elements = -60 meV/atom